(1)
TmMg4 | the Alexandria database | PBE-GGA | optimized geometry; distance to the lowest polymorph of the same formula = 0 meV/atom; formation energy = -24 meV/atom
1.0
-2.1348 -0.1342 -2.5583
-1.7421 -2.3655 1.5778
-4.2423 8.9716 5.2427
Tm Mg
1 4
direct
0.0000 0.0000 0.0000
0.6071 0.6071 0.2143
0.2021 0.2021 0.4042
0.7979 0.7979 0.5958
0.3929 0.3929 0.7857


(2)
Pm2MgP3Ir12 | the Alexandria database | PBE-GGA | optimized geometry; formation energy = -43 meV/atom
1.0
6.5212 -1.4493 -1.0280
1.9603 6.3863 -1.0280
1.9603 1.1410 6.3670
Pm Mg P Ir
2 1 3 12
direct
0.6352 0.6352 0.6352
0.3648 0.3648 0.3648
0.0000 0.0000 0.0000
0.5000 0.0000 0.0000
0.0000 0.5000 0.0000
0.0000 0.0000 0.5000
0.3753 0.3753 0.8933
0.8272 0.8272 0.3223
0.3223 0.8272 0.8272
0.8933 0.3753 0.3753
0.8272 0.3223 0.8272
0.3753 0.8933 0.3753
0.6247 0.6247 0.1067
0.1728 0.1728 0.6777
0.6777 0.1728 0.1728
0.1067 0.6247 0.6247
0.1728 0.6777 0.1728
0.6247 0.1067 0.6247


(3)
Na5Nd3Br12 | the Alexandria database | PBE-GGA | optimized geometry; raw formation energy = -1511 meV per atom
1.0
-12.8032 6.6530 -3.8381
-1.9832 -14.7944 0.3309
4.2273 4.7579 13.5058
Nd Na Br
12 20 48
direct
0.7500 0.3750 0.1250
0.8750 0.7500 0.1250
0.3750 0.7500 0.6250
0.2500 0.1250 0.3750
0.8750 0.1250 0.2500
0.3750 0.6250 0.2500
0.6250 0.3750 0.7500
0.1250 0.8750 0.7500
0.7500 0.8750 0.6250
0.6250 0.2500 0.3750
0.1250 0.2500 0.8750
0.2500 0.6250 0.8750
0.1250 0.3750 0.2500
0.0000 0.5000 0.0000
0.0000 0.0000 0.0000
0.3750 0.2500 0.1250
0.5000 0.0000 0.5000
0.5000 0.5000 0.0000
0.1250 0.7500 0.3750
0.7500 0.1250 0.8750
0.7500 0.6250 0.3750
0.3750 0.1250 0.7500
0.6250 0.8750 0.2500
0.5000 0.5000 0.5000
0.5000 0.0000 0.0000
0.0000 0.0000 0.5000
0.2500 0.3750 0.6250
0.2500 0.8750 0.1250
0.0000 0.5000 0.5000
0.8750 0.2500 0.6250
0.6250 0.7500 0.8750
0.8750 0.6250 0.7500
0.7241 0.1333 0.0495
0.3254 0.5495 0.4161
0.9505 0.3667 0.2759
0.5495 0.2241 0.1333
0.5907 0.7241 0.6746
0.9505 0.5839 0.1746
0.3254 0.7759 0.4093
0.0839 0.9093 0.1333
0.5839 0.9505 0.6746
0.7241 0.5907 0.1746
0.7759 0.4505 0.3667
0.8254 0.9161 0.0495
0.1333 0.7241 0.5495
0.3667 0.4161 0.0907
0.0907 0.9161 0.3667
0.4093 0.1333 0.5839
0.0907 0.1746 0.2241
0.4505 0.6746 0.0839
0.8254 0.9093 0.2759
0.1333 0.4093 0.0839
0.3667 0.9505 0.7759
0.5839 0.6333 0.4093
0.9161 0.8254 0.5495
0.7759 0.3254 0.9093
0.4161 0.3667 0.5907
0.0839 0.1746 0.4505
0.2241 0.6746 0.0907
0.1746 0.0907 0.7241
0.6333 0.0495 0.2241
0.8667 0.5907 0.9161
0.5495 0.3254 0.9161
0.5907 0.8667 0.4161
0.9093 0.8254 0.7759
0.9093 0.0839 0.6333
0.8667 0.2759 0.4505
0.1746 0.0839 0.9505
0.6333 0.5839 0.9093
0.4161 0.0495 0.3254
0.2759 0.4093 0.8254
0.2241 0.5495 0.6333
0.9161 0.0907 0.8667
0.6746 0.2241 0.5907
0.4505 0.7759 0.8667
0.0495 0.4161 0.8254
0.4093 0.2759 0.3254
0.0495 0.6333 0.7241
0.6746 0.4505 0.5839
0.2759 0.8667 0.9505


(4)
VIr4Ru | the Alexandria database | PBE-GGA | optimized geometry; distance to the lowest polymorph of the same formula = 499 meV/atom; formation energy = 230 meV/atom
1.0
4.0919 0.0000 0.0000
2.0459 3.5379 0.2049
2.0459 0.7865 6.8864
V Ir Ru
1 4 1
direct
0.5000 0.5000 0.5000
0.6216 0.6215 0.1354
0.3784 0.3785 0.8646
0.1262 0.1261 0.6215
0.8738 0.8739 0.3785
0.0000 0.0000 0.0000


(5)
CrHRu2Rh | the Alexandria database | PBE-GGA | optimized geometry; distance to the lowest polymorph of the same formula = 10 meV/atom
1.0
-2.6645 2.1404 -1.7254
-2.6935 -1.5506 2.2358
0.5498 2.7633 2.5789
Ru Rh H Cr
2 1 1 1
direct
0.0000 0.5000 0.0000
0.5000 0.0000 0.0000
0.5000 0.5000 0.5000
0.0000 0.0000 0.0000
0.0000 0.0000 0.5000


(6)
AgSbPt2 | the Alexandria database | PBE-GGA | optimized geometry; raw formation energy = -114 meV per atom
1.0
5.0116 -0.0134 -0.0134
3.2691 3.7986 -0.0134
1.7635 0.8061 3.7161
Sb Ag Pt
1 1 2
direct
0.7500 0.7500 0.7500
0.2500 0.2500 0.2500
0.9999 0.9999 0.0000
0.5001 0.5001 0.5000


(7)
Be3VBr | the Alexandria database | PBE-GGA | optimized geometry; distance to the lowest polymorph of the same formula = 0 meV/atom; raw formation energy = 1616 meV per atom
1.0
4.3236 0.0000 0.0000
0.0000 4.3236 0.0000
0.0000 0.0000 4.3236
Be Br V
3 1 1
direct
0.0000 0.5000 0.0000
0.0000 0.0000 0.5000
0.5000 0.0000 0.0000
0.0000 0.0000 0.0000
0.5000 0.5000 0.5000


(8)
CuSb2Ir | the Alexandria database | PBE-GGA | optimized geometry; distance to the lowest polymorph of the same formula = 188 meV/atom; raw formation energy = 214 meV per atom
1.0
-0.0612 -3.0161 1.1455
3.0674 -0.3820 -0.8419
4.6092 2.1775 5.9794
Cu Ir Sb
1 1 2
direct
0.5000 0.2500 0.2500
0.5000 0.7500 0.7500
0.0000 0.0605 0.9870
0.0000 0.4395 0.5130